DFT (PBE-GGA) results for a relaxed structure of SmDy3Pd.

```
10
Lattice="5.0688 0.0000 -1.2382 -0.1587 6.2809 -0.6498 -0.4549 -0.1198 9.1318" Properties=species:S:1:pos:R:3 pbc="T T T"
Dy 4.4149 1.3158 7.0790
Dy 0.0402 4.8453 0.1647
Pd 0.6038 0.7522 2.4716
Sm 1.6046 3.9444 6.5684
Sm 2.8506 2.2167 0.6754
Dy 3.1492 5.6015 1.8976
Dy 3.6905 2.6778 4.1135
Pd 3.8514 5.4089 4.7722
Dy 0.7647 3.4833 3.1303
Dy 1.3060 0.5596 5.3462
```

Total energy, eV per atom: -5.004
Space-group type: C2/m (12)